1.
# Th4CuPd3

A geometry-optimized Th4CuPd3 structure (PBE, the Alexandria database).

Lattice parameters (Å, degrees): 3.910 4.399 11.378 90.00 90.00 90.00
Sites, in units of the cell vectors:
Th  0.000  0.500  0.866
Th  0.500  0.500  0.349
Th  0.000  0.000  0.145
Th  0.500  0.000  0.633
Cu  0.500  0.500  0.073
Pd  0.000  0.500  0.596
Pd  0.500  0.000  0.914
Pd  0.000  0.000  0.424

2.
# K2Ga2P

A geometry-optimized K2Ga2P structure (PBE, the Alexandria database).

Properties
**Relative energy among the computed polymorphs**: 117.1 meV per atom

Lattice parameters (Å, degrees): 6.878 6.878 5.623 90.00 90.00 90.00
Sites, in units of the cell vectors:
K  0.808  0.308  0.500
K  0.692  0.808  0.500
K  0.192  0.692  0.500
K  0.308  0.192  0.500
Ga  0.369  0.869  0.000
Ga  0.631  0.131  0.000
Ga  0.131  0.369  0.000
Ga  0.869  0.631  0.000
P  0.500  0.500  0.000
P  0.000  0.000  0.000

Number 1: magnetization 0.000 μB/cell, calculated formation energy -56.6 kJ/mol of atoms. Number 2: magnetization 0.000 μB/cell, calculated formation energy -2.3 kJ/mol of atoms.